(1)
KGeB (PBE-GGA, relaxed); volume = 27.6 A^3/atom; N(E_F) = 0.00 states/eV/atom
1.0
-0.715 -1.813 4.535
4.782 -1.192 0.277
2.737 12.219 5.317
K Ge B
4 4 4
Direct
0.155 0.000 0.250
0.000 0.845 0.000
0.845 0.000 0.750
0.000 0.155 0.500
0.500 0.625 0.500
0.625 0.500 0.250
0.500 0.375 0.000
0.375 0.500 0.750
0.336 0.664 0.625
0.664 0.336 0.125
0.336 0.336 0.875
0.664 0.664 0.375

***

(2)
KGeB (PBE-GGA, relaxed); volume = 21.1 A^3/atom; N(E_F) = 0.07 states/eV/atom
1.0
3.836 -2.215 0.000
0.000 4.429 0.000
0.000 0.000 7.433
B K Ge
2 2 2
Direct
0.333 0.667 0.876
0.333 0.667 0.124
0.667 0.333 0.000
0.667 0.333 0.500
0.000 0.000 0.183
0.000 0.000 0.817

***

(3)
KGe3B (PBE-GGA, relaxed); energy relative to the lowest polymorph listed for this composition = 1745 meV/atom; volume = 33.4 A^3/atom; N(E_F) = 0.71 states/eV/atom
1.0
5.506 0.000 0.000
0.000 5.506 0.000
0.000 0.000 5.506
K Ge B
1 3 1
Direct
0.000 0.000 0.000
0.000 0.000 0.500
0.000 0.500 0.000
0.500 0.000 0.000
0.500 0.500 0.500

***

(4)
KGeB (PBE-GGA, relaxed); volume = 21.9 A^3/atom; N(E_F) = 0.07 states/eV/atom
1.0
5.261 -3.536 0.000
5.261 3.536 0.000
0.000 0.000 7.076
Ge B K
4 4 4
Direct
0.353 0.647 0.147
0.647 0.353 0.853
0.147 0.853 0.647
0.853 0.147 0.353
0.651 0.349 0.150
0.849 0.151 0.650
0.349 0.651 0.850
0.151 0.849 0.350
0.194 0.194 0.000
0.806 0.806 0.000
0.694 0.694 0.500
0.306 0.306 0.500

***

(5)
KGeB (PBE-GGA, relaxed); volume = 24.6 A^3/atom; N(E_F) = 0.27 states/eV/atom
1.0
6.223 0.001 0.089
-0.803 3.046 -0.033
2.123 -1.188 7.825
Ge B K
2 2 2
Direct
0.188 0.834 0.838
0.523 0.409 0.676
0.552 0.769 0.382
0.558 0.279 0.395
0.040 0.046 0.457
0.681 0.176 0.014

***

(6)
KGeB (PBE-GGA, relaxed); volume = 23.7 A^3/atom; N(E_F) = 0.26 states/eV/atom
1.0
-1.513 -9.276 -5.379
-1.145 -1.349 2.648
-7.623 2.435 -2.055
B Ge K
4 4 4
Direct
0.492 0.750 0.465
0.008 0.250 0.965
0.508 0.250 0.535
0.992 0.750 0.035
0.000 0.750 0.775
0.000 0.250 0.225
0.500 0.750 0.725
0.500 0.250 0.275
0.275 0.750 0.031
0.225 0.250 0.531
0.725 0.250 0.969
0.775 0.750 0.469

***

(7)
KGeB (PBE-GGA, relaxed); volume = 23.3 A^3/atom; N(E_F) = 0.32 states/eV/atom
1.0
-2.718 12.511 -5.015
-3.951 3.820 -3.201
0.789 -3.758 5.070
Ge B K
2 2 2
Direct
0.846 0.888 0.112
0.114 0.452 0.548
0.943 0.485 0.515
0.840 0.472 0.528
0.617 0.410 0.590
0.329 0.946 0.054

***

(8)
KGeB (PBE-GGA, relaxed); volume = 26.7 A^3/atom; N(E_F) = 0.28 states/eV/atom
1.0
-4.005 -0.172 2.341
1.368 -3.934 2.051
1.527 1.969 2.757
Ge B K
1 1 1
Direct
0.500 0.500 0.500
0.500 0.500 0.000
0.000 0.000 0.000

***

Number 1: final energy -3.512 eV/atom, calculated formation energy 0.6190 eV/atom. Number 2: final energy -3.314 eV/atom, calculated formation energy 0.8168 eV/atom. Number 3: final energy -1.930 eV/atom, calculated formation energy 2.3956 eV/atom. Number 4: final energy -3.912 eV/atom, calculated formation energy 0.2187 eV/atom. Number 5: final energy -3.891 eV/atom, calculated formation energy 0.2397 eV/atom. Number 6: final energy -3.872 eV/atom, calculated formation energy 0.2583 eV/atom. Number 7: final energy -3.814 eV/atom, calculated formation energy 0.3165 eV/atom. Number 8: final energy -3.585 eV/atom, calculated formation energy 0.5456 eV/atom.